Here is a geometry-optimized Ho2MgCu2 structure from OQMD. Energies are from PBE.

Computed properties:
The calculation puts the total energy at -3.877 eV/atom. As for the space group: P4/mbm.

Lattice parameters (Å, degrees): 7.555 7.555 3.699 90.00 90.00 90.00
Fractional positions:
Ho: 0.169 0.331 0.000
Ho: 0.331 0.831 0.000
Ho: 0.669 0.169 0.000
Ho: 0.831 0.669 0.000
Mg: 0.000 0.000 0.500
Mg: 0.500 0.500 0.500
Cu: 0.124 0.624 0.500
Cu: 0.376 0.124 0.500
Cu: 0.624 0.876 0.500
Cu: 0.876 0.376 0.500